[1]
Material: MnFe2Ir
Method: DFT, PBE
State: optimized geometry

Output
Raw total energy = -35.0 eV/cell
ρ = 11.7 g/cm³
Crystal system = cubic
Total magnetization = 8.04 μB/f.u.
E_form = 0.0008 eV/atom

The structure in POSCAR format:
```
MnFe2Ir
1.0
4.1590 0.0000 0.0000
2.0795 3.6018 0.0000
2.0795 1.2006 3.3958
Fe Ir Mn
2 1 1
direct
0.7500 0.7500 0.7500
0.0000 0.0000 0.0000
0.5000 0.5000 0.5000
0.2500 0.2500 0.2500
```



[2]
Material: MnFe2Ir
Method: DFT, PBE
State: optimized geometry

Output
Raw total energy = -34.7 eV/cell
ρ = 11.7 g/cm³
Crystal system = tetragonal
Total magnetization = 8.08 μB/f.u.
E_form = 0.0637 eV/atom

The structure in POSCAR format:
```
MnFe2Ir
1.0
4.1678 0.0000 0.0000
0.0000 4.1678 0.0000
0.0000 0.0000 2.9256
Fe Ir Mn
2 1 1
direct
0.0000 0.0000 0.0000
0.5000 0.5000 0.0000
0.5000 0.0000 0.5000
0.0000 0.5000 0.5000
```